(1)
## CaBiBr3 (PBE)

Data for a relaxed CaBiBr3 crystal.

Cell lengths 5.880, 5.880, 5.880 Å; angles 90.00, 90.00, 90.00 degrees
Atoms (fractional coordinates):
Ca 0.000 0.000 0.000
Bi 0.500 0.500 0.500
Br 0.000 0.500 0.500
Br 0.500 0.000 0.500
Br 0.500 0.500 0.000

Properties
Raw formation energy, eV per atom: -0.492
Calculated volume, A^3/atom: 40.67
E above lowest polymorph, kcal/mol of atoms: 9.23

***

(2)
## Pm2Tl3HgTe6 (PBE)

Data for a relaxed Pm2Tl3HgTe6 crystal.

Cell lengths 7.846, 7.846, 8.360 Å; angles 99.20, 99.20, 120.07 degrees
Atoms (fractional coordinates):
Pm 0.164 0.836 0.000
Pm 0.836 0.164 0.000
Tl 0.000 0.000 0.500
Tl 0.325 0.675 0.500
Tl 0.675 0.325 0.500
Hg 0.500 0.500 0.000
Te 0.098 0.428 0.780
Te 0.242 0.242 0.232
Te 0.428 0.098 0.780
Te 0.572 0.902 0.220
Te 0.758 0.758 0.768
Te 0.902 0.572 0.220

Properties
Raw formation energy, eV per atom: -0.696
Calculated volume, A^3/atom: 35.16

***

(3)
## LaTb10Tm4 (PBE)

Data for a relaxed LaTb10Tm4 crystal.

Cell lengths 9.572, 9.572, 9.572 Å; angles 96.86, 96.86, 139.56 degrees
Atoms (fractional coordinates):
La 0.000 0.000 0.000
Tb 0.042 0.880 0.418
Tb 0.120 0.538 0.162
Tb 0.250 0.750 0.500
Tb 0.376 0.958 0.838
Tb 0.462 0.624 0.582
Tb 0.538 0.376 0.418
Tb 0.624 0.042 0.162
Tb 0.750 0.250 0.500
Tb 0.880 0.462 0.838
Tb 0.958 0.120 0.582
Tm 0.323 0.567 0.891
Tm 0.433 0.323 0.756
Tm 0.567 0.677 0.244
Tm 0.677 0.433 0.109

Properties
Formation energy, eV per formula unit: 8.2
Calculated volume, A^3/atom: 35.59

***

(4)
## BeBr2F (PBE)

Data for a relaxed BeBr2F crystal.

Cell lengths 7.597, 7.597, 7.597 Å; angles 26.82, 26.82, 26.82 degrees
Atoms (fractional coordinates):
Be 0.000 0.000 0.000
Br 0.395 0.395 0.395
Br 0.605 0.605 0.605
F 0.500 0.500 0.500

Properties
Raw formation energy, eV per atom: -0.511
Calculated volume, A^3/atom: 19.68
E above lowest polymorph, kcal/mol of atoms: 2.33

***

(5)
## LiCrP (PBE)

Data for a relaxed LiCrP crystal.

Cell lengths 4.388, 4.386, 3.106 Å; angles 69.30, 69.23, 41.47 degrees
Atoms (fractional coordinates):
Li 0.000 0.000 0.000
Cr 0.681 0.681 0.319
P 0.322 0.322 0.678

Properties
Formation energy, eV per formula unit: -0.4
Calculated volume, A^3/atom: 12.21

***

(6)
## Ca2LaNdS4 (PBE)

Data for a relaxed Ca2LaNdS4 crystal.

Cell lengths 7.012, 4.051, 7.131 Å; angles 90.00, 109.13, 90.00 degrees
Atoms (fractional coordinates):
Ca 0.000 0.000 0.000
Ca 0.500 0.500 0.000
La 0.000 0.500 0.500
Nd 0.500 0.000 0.500
S 0.250 0.500 0.242
S 0.256 0.000 0.760
S 0.744 0.000 0.240
S 0.750 0.500 0.758

Properties
Raw formation energy, eV per atom: -2.082
Calculated volume, A^3/atom: 23.92

***

(7)
## ThFeC (PBE)

Data for a relaxed ThFeC crystal.

Cell lengths 7.105, 7.105, 3.793 Å; angles 90.00, 90.00, 147.64 degrees
Atoms (fractional coordinates):
Th 0.147 0.853 0.750
Th 0.853 0.147 0.250
Fe 0.460 0.540 0.750
Fe 0.540 0.460 0.250
C 0.330 0.670 0.750
C 0.670 0.330 0.250

Properties
Formation energy, eV per formula unit: -0.3
Calculated volume, A^3/atom: 17.08
E above lowest polymorph, kcal/mol of atoms: 1.43

***

(8)
## PmY3O6 (PBE)

Data for a relaxed PmY3O6 crystal.

Cell lengths 6.131, 6.131, 6.131 Å; angles 57.33, 57.33, 57.33 degrees
Atoms (fractional coordinates):
Pm 0.000 0.000 0.000
Y 0.279 0.279 0.279
Y 0.495 0.495 0.495
Y 0.781 0.781 0.781
O 0.092 0.401 0.668
O 0.180 0.889 0.588
O 0.401 0.668 0.092
O 0.588 0.180 0.889
O 0.668 0.092 0.401
O 0.889 0.588 0.180

Properties
Raw formation energy, eV per atom: -3.466
Calculated volume, A^3/atom: 15.30

***

(9)
## Mg2BiRh (PBE)

Data for a relaxed Mg2BiRh crystal.

Cell lengths 3.256, 3.256, 7.865 Å; angles 90.00, 90.00, 90.00 degrees
Atoms (fractional coordinates):
Mg 0.000 0.000 0.185
Mg 0.000 0.000 0.815
Bi 0.500 0.500 0.500
Rh 0.500 0.500 0.000

Properties
Formation energy, eV per formula unit: -1.3
Calculated volume, A^3/atom: 20.85

***

(10)
## Dy5Ho2Er4 (PBE)

Data for a relaxed Dy5Ho2Er4 crystal.

Cell lengths 12.457, 12.457, 12.457 Å; angles 164.02, 138.04, 45.17 degrees
Atoms (fractional coordinates):
Dy 0.000 0.000 0.000
Dy 0.054 0.356 0.698
Dy 0.343 0.644 0.698
Dy 0.657 0.356 0.302
Dy 0.946 0.644 0.302
Ho 0.269 0.769 0.500
Ho 0.731 0.231 0.500
Er 0.311 0.500 0.811
Er 0.403 0.903 0.500
Er 0.597 0.097 0.500
Er 0.689 0.500 0.189

Properties
Formation energy, eV per formula unit: 2.5
Calculated volume, A^3/atom: 32.31
E above lowest polymorph, kcal/mol of atoms: 2.02

***

(11)
## YAl2Co2 (PBE)

Data for a relaxed YAl2Co2 crystal.

Cell lengths 7.282, 7.282, 2.840 Å; angles 90.00, 90.00, 90.00 degrees
Atoms (fractional coordinates):
Y 0.000 0.000 0.000
Y 0.500 0.500 0.000
Al 0.138 0.362 0.500
Al 0.362 0.862 0.500
Al 0.638 0.138 0.500
Al 0.862 0.638 0.500
Co 0.152 0.652 0.000
Co 0.348 0.152 0.000
Co 0.652 0.848 0.000
Co 0.848 0.348 0.000

Properties
Formation energy, eV per formula unit: -1.7
Calculated volume, A^3/atom: 15.06
E above lowest polymorph, kcal/mol of atoms: 2.34

***

(12)
## Ac3LaOs2N6 (PBE)

Data for a relaxed Ac3LaOs2N6 crystal.

Cell lengths 6.141, 6.141, 7.053 Å; angles 90.00, 90.00, 120.00 degrees
Atoms (fractional coordinates):
Ac 0.000 0.000 0.000
Ac 0.333 0.667 0.709
Ac 0.667 0.333 0.291
La 0.000 0.000 0.500
Os 0.333 0.667 0.176
Os 0.667 0.333 0.824
N 0.173 0.345 0.274
N 0.173 0.827 0.274
N 0.345 0.173 0.726
N 0.655 0.827 0.274
N 0.827 0.173 0.726
N 0.827 0.655 0.726

Properties
Raw formation energy, eV per atom: -0.566
Calculated volume, A^3/atom: 19.20

***

Sequential total DFT energy (no corrections) output: -2.67, -3.67, -4.06, -2.75, -5.77, -5.86, -8.47, -8.86, -3.94, -4.36, -5.96, -8.04 eV per atom